Below is an optimized crystal structure of Ac2TbDySe5, with properties calculated at the GGA-PBE level.

Summary:
Energy (eV/f.u.): -48.11
N(E_F) (states/eV per cell): 4.8
Mass density (g/cm³): 6.69

```
data_Ac2TbDySe5
_cell_length_a 5.1589
_cell_length_b 5.1589
_cell_length_c 10.9197
_cell_angle_alpha 90.00
_cell_angle_beta 90.00
_cell_angle_gamma 90.00
_space_group_name_H-M_alt 'P 4/m m m'
_space_group_IT_number 123
_space_group_name_Hall '-P 4 2'
loop_
_atom_site_label
_atom_site_type_symbol
_atom_site_fract_x
_atom_site_fract_y
_atom_site_fract_z
_atom_site_occupancy
Ac1 Ac 0.0000 0.0000 0.2100 1
Tb1 Tb 0.5000 0.5000 0.5000 1
Dy1 Dy 0.5000 0.5000 0.0000 1
Se1 Se 0.0000 0.0000 0.5000 1
Se2 Se 0.0000 0.5000 0.0000 1
Se3 Se 0.5000 0.5000 0.2553 1
```

***

Below is an optimized crystal structure of YZn2Hg, with properties calculated at the GGA-PBE level.

Summary:
DFT formation energy (eV/f.u.): -1.1
N(E_F) (states/eV per cell): 3.4
Mass density (g/cm³): 8.58

```
data_YZn2Hg
_cell_length_a 4.8559
_cell_length_b 4.8671
_cell_length_c 6.8834
_cell_angle_alpha 90.00
_cell_angle_beta 90.00
_cell_angle_gamma 90.00
_space_group_name_H-M_alt 'I m m 2'
_space_group_IT_number 44
loop_
_space_group_symop_operation_xyz
'x,y,z'
'-x,-y,z'
'-x,y,z'
'x,-y,z'
'x+1/2,y+1/2,z+1/2'
'-x+1/2,-y+1/2,z+1/2'
'-x+1/2,y+1/2,z+1/2'
'x+1/2,-y+1/2,z+1/2'
loop_
_atom_site_label
_atom_site_type_symbol
_atom_site_fract_x
_atom_site_fract_y
_atom_site_fract_z
_atom_site_occupancy
Y1 Y 0.0000 0.0000 0.0000 1
Zn1 Zn 0.0000 0.0000 0.4993 1
Zn2 Zn 0.0000 0.5000 0.7505 1
Hg1 Hg 0.0000 0.5000 0.2494 1
```

***

Below is an optimized crystal structure of HfAl3Ir, with properties calculated at the GGA-PBE level.

Summary:
Distance to the lowest polymorph of the same formula (kJ/mol of atoms): 0.0
DFT formation energy (eV/f.u.): -3.0
N(E_F) (states/eV per cell): 4.0
Mass density (g/cm³): 9.21

```
data_HfAl3Ir
_cell_length_a 5.9168
_cell_length_b 4.1156
_cell_length_c 6.9495
_cell_angle_alpha 90.00
_cell_angle_beta 105.69
_cell_angle_gamma 90.00
_space_group_name_H-M_alt 'P 1 21/m 1'
_space_group_IT_number 11
loop_
_space_group_symop_operation_xyz
'x,y,z'
'-x,-y,-z'
'-x,y+1/2,-z'
'x,-y+1/2,z'
loop_
_atom_site_label
_atom_site_type_symbol
_atom_site_fract_x
_atom_site_fract_y
_atom_site_fract_z
_atom_site_occupancy
Hf1 Hf 0.1874 0.2500 0.1878 1
Al1 Al 0.1096 0.2500 0.7573 1
Al2 Al 0.3525 0.7500 0.9529 1
Al3 Al 0.4820 0.2500 0.6218 1
Ir1 Ir 0.2069 0.7500 0.5655 1
```

***

Below is an optimized crystal structure of BaTmTlHg, with properties calculated at the GGA-PBE level.

Summary:
DFT formation energy (eV/f.u.): -1.2
N(E_F) (states/eV per cell): 9.4
Mass density (g/cm³): 9.23

```
data_BaTmTlHg
_cell_length_a 7.9997
_cell_length_b 7.9997
_cell_length_c 7.9997
_cell_angle_alpha 90.00
_cell_angle_beta 90.00
_cell_angle_gamma 90.00
_space_group_name_H-M_alt 'F -4 3 m'
_space_group_IT_number 216
_space_group_name_Hall 'F -4 2 3'
loop_
_atom_site_label
_atom_site_type_symbol
_atom_site_fract_x
_atom_site_fract_y
_atom_site_fract_z
_atom_site_occupancy
Ba1 Ba 0.0000 0.0000 0.0000 1
Tm1 Tm 0.0000 0.0000 0.5000 1
Tl1 Tl 0.2500 0.2500 0.7500 1
Hg1 Hg 0.2500 0.2500 0.2500 1
```

***

Below is an optimized crystal structure of AcThCuPd, with properties calculated at the GGA-PBE level.

Summary:
DFT formation energy (eV/f.u.): -1.2
N(E_F) (states/eV per cell): 14.5
Mass density (g/cm³): 10.28

```
data_AcThCuPd
_cell_length_a 7.4070
_cell_length_b 7.4070
_cell_length_c 7.4070
_cell_angle_alpha 90.00
_cell_angle_beta 90.00
_cell_angle_gamma 90.00
_space_group_name_H-M_alt 'F -4 3 m'
_space_group_IT_number 216
_space_group_name_Hall 'F -4 2 3'
loop_
_atom_site_label
_atom_site_type_symbol
_atom_site_fract_x
_atom_site_fract_y
_atom_site_fract_z
_atom_site_occupancy
Ac1 Ac 0.0000 0.0000 0.0000 1
Th1 Th 0.0000 0.0000 0.5000 1
Cu1 Cu 0.2500 0.2500 0.7500 1
Pd1 Pd 0.2500 0.2500 0.2500 1
```

***

Below is an optimized crystal structure of PuHgSe2O8, with properties calculated at the GGA-PBE level.

Summary:
Energy (eV/f.u.): -73.68
N(E_F) (states/eV per cell): 5.1
Mass density (g/cm³): 5.61

```
data_PuHgSe2O8
_cell_length_a 6.3058
_cell_length_b 6.3058
_cell_length_c 6.2749
_cell_angle_alpha 90.00
_cell_angle_beta 90.00
_cell_angle_gamma 120.00
_space_group_name_H-M_alt 'P -3 m 1'
_space_group_IT_number 164
_space_group_name_Hall '-P 3 2"'
loop_
_atom_site_label
_atom_site_type_symbol
_atom_site_fract_x
_atom_site_fract_y
_atom_site_fract_z
_atom_site_occupancy
Pu1 Pu 0.0000 0.0000 0.0000 1
Hg1 Hg 0.0000 0.0000 0.5000 1
Se1 Se 0.3333 0.6667 0.7560 1
O1 O 0.1508 0.3017 0.7955 1
O2 O 0.3333 0.6667 0.4967 1
```